This record from Alexandria via LeMat-Bulk describes a relaxed structure of SrAc2Hg6. The functional is PBE.

Structure (POSCAR):
```
SrAc2Hg6
1.0
3.884 0.000 0.000
0.000 7.695 -4.442
0.000 0.000 8.885
Sr Ac Hg
1 2 6
Direct
0.000 0.000 0.000 Sr
0.000 0.333 0.667 Ac
0.000 0.667 0.333 Ac
0.500 0.331 0.331 Hg
0.500 0.669 0.669 Hg
0.500 0.000 0.669 Hg
0.500 0.669 0.000 Hg
0.500 0.331 0.000 Hg
0.500 0.000 0.331 Hg
```

Properties
magnetization	0.00	μB/f.u.
DOS at the Fermi energy	6.35	states/eV per cell
energy of formation	-45.9	kJ per mole of atoms

=====

This record from Alexandria via LeMat-Bulk describes a relaxed structure of PrYPt6. The functional is PBE.

Structure (POSCAR):
```
PrYPt6
1.0
5.364 0.000 0.000
0.000 5.364 0.000
0.000 0.000 5.364
Pr Y Pt
1 1 6
Direct
0.500 0.500 0.500 Pr
0.000 0.000 0.000 Y
0.500 0.752 0.000 Pt
0.752 0.000 0.500 Pt
0.000 0.500 0.248 Pt
0.248 0.000 0.500 Pt
0.500 0.248 0.000 Pt
0.000 0.500 0.752 Pt
```

Properties
magnetization	0.00	μB/f.u.
DOS at the Fermi energy	11.91	states/eV per cell
energy of formation	-56.6	kJ per mole of atoms

=====

This record from Alexandria via LeMat-Bulk describes a relaxed structure of CeScGa2Pd5. The functional is PBE.

Structure (POSCAR):
```
CeScGa2Pd5
1.0
4.145 0.000 0.000
0.000 4.145 0.000
0.000 0.000 9.365
Ce Sc Ga Pd
1 1 2 5
Direct
0.000 0.000 0.500 Ce
0.000 0.000 0.000 Sc
0.500 0.500 0.128 Ga
0.500 0.500 0.872 Ga
0.000 0.500 0.277 Pd
0.500 0.000 0.277 Pd
0.000 0.500 0.723 Pd
0.500 0.000 0.723 Pd
0.500 0.500 0.500 Pd
```

Properties
magnetization	0.27	μB/f.u.
DOS at the Fermi energy	8.90	states/eV per cell
energy of formation	-67.6	kJ per mole of atoms

=====

This record from Alexandria via LeMat-Bulk describes a relaxed structure of YTcIr2. The functional is PBE.

Structure (POSCAR):
```
YTcIr2
1.0
5.049 -0.007 -0.009
1.826 4.708 0.009
-3.433 -2.357 2.856
Ir Tc Y
2 1 1
Direct
0.000 0.000 0.000 Ir
0.750 0.250 0.500 Ir
0.500 0.500 0.000 Tc
0.250 0.750 0.500 Y
```

Properties
magnetization	0.00	μB/f.u.
DOS at the Fermi energy	4.61	states/eV per cell
energy of formation	-5.0	kJ per mole of atoms
offset from the most stable computed form	0.75	eV per formula unit

=====

This record from Alexandria via LeMat-Bulk describes a relaxed structure of Zr2CdFe. The functional is PBE.

Structure (POSCAR):
```
Zr2CdFe
1.0
-0.064 1.914 -5.040
4.028 -1.802 -3.098
-3.640 -2.320 3.230
Cd Fe Zr
1 1 2
Direct
0.500 0.500 0.000 Cd
0.750 0.250 0.500 Fe
0.000 0.000 0.000 Zr
0.250 0.750 0.500 Zr
```

Properties
magnetization	1.67	μB/f.u.
DOS at the Fermi energy	4.58	states/eV per cell
energy of formation	12.5	kJ per mole of atoms

=====

This record from Alexandria via LeMat-Bulk describes a relaxed structure of ZnBiC2. The functional is PBE.

Structure (POSCAR):
```
ZnBiC2
1.0
-3.033 -2.059 -3.434
-3.328 -1.099 3.598
-5.438 2.931 -0.628
C Zn Bi
4 2 2
Direct
0.589 0.125 0.250 C
0.161 0.625 0.250 C
0.375 0.411 0.750 C
0.875 0.839 0.750 C
0.500 0.500 0.000 Zn
0.250 0.750 0.500 Zn
0.000 0.000 0.000 Bi
0.750 0.250 0.500 Bi
```

Properties
magnetization	0.00	μB/f.u.
DOS at the Fermi energy	4.94	states/eV per cell
energy of formation	139.1	kJ per mole of atoms
offset from the most stable computed form	0.00	eV per formula unit

=====

This record from Alexandria via LeMat-Bulk describes a relaxed structure of AcY2Tm7. The functional is PBE.

Structure (POSCAR):
```
AcY2Tm7
1.0
5.297 -1.710 0.792
-2.980 7.198 -4.468
1.308 -0.599 9.955
Ac Y Tm
1 2 7
Direct
0.000 0.000 0.000 Ac
0.362 0.576 0.429 Y
0.638 0.424 0.571 Y
0.149 0.937 0.576 Tm
0.851 0.063 0.424 Tm
0.195 0.595 0.800 Tm
0.805 0.405 0.200 Tm
0.292 0.892 0.200 Tm
0.708 0.108 0.800 Tm
0.500 0.500 0.000 Tm
```

Properties
magnetization	0.00	μB/f.u.
DOS at the Fermi energy	15.82	states/eV per cell
energy of formation	4.7	kJ per mole of atoms

=====

This record from Alexandria via LeMat-Bulk describes a relaxed structure of Ti3CuSn2P6O24. The functional is PBE.

Structure (POSCAR):
```
Ti3CuSn2P6O24
1.0
-7.723 -4.899 1.065
-2.230 -7.477 -4.889
-0.400 -8.570 3.341
Ti Cu Sn P O
3 1 2 6 24
Direct
0.147 0.147 0.147 Ti
0.353 0.353 0.353 Ti
0.656 0.656 0.656 Ti
0.840 0.840 0.840 Cu
0.975 0.975 0.975 Sn
0.516 0.516 0.516 Sn
0.464 0.748 0.044 P
0.748 0.044 0.464 P
0.965 0.530 0.256 P
0.256 0.965 0.530 P
0.530 0.256 0.965 P
0.044 0.464 0.748 P
0.490 0.311 0.116 O
0.116 0.490 0.311 O
0.307 0.947 0.044 O
0.311 0.116 0.490 O
0.647 0.718 0.038 O
0.385 0.596 0.225 O
0.947 0.044 0.307 O
0.596 0.225 0.385 O
0.986 0.356 0.248 O
0.225 0.385 0.596 O
0.967 0.700 0.063 O
0.248 0.986 0.356 O
0.718 0.038 0.647 O
0.044 0.307 0.947 O
0.767 0.586 0.417 O
0.038 0.647 0.718 O
0.417 0.767 0.586 O
0.063 0.967 0.700 O
0.586 0.417 0.767 O
0.356 0.248 0.986 O
0.728 0.867 0.495 O
0.700 0.063 0.967 O
0.867 0.495 0.728 O
0.495 0.728 0.867 O
```

Properties
magnetization	1.00	μB/f.u.
ΔE_f (raw)	-2248	meV per atom
DOS at the Fermi energy	6.70	states/eV per cell

=====

This record from Alexandria via LeMat-Bulk describes a relaxed structure of SmGaPt2. The functional is PBE.

Structure (POSCAR):
```
SmGaPt2
1.0
5.717 0.000 0.000
0.000 7.175 0.000
0.000 0.000 7.451
Sm Ga Pt
4 4 8
Direct
0.356 0.250 0.028 Sm
0.856 0.750 0.472 Sm
0.644 0.750 0.972 Sm
0.144 0.250 0.528 Sm
0.643 0.250 0.382 Ga
0.143 0.750 0.118 Ga
0.357 0.750 0.618 Ga
0.857 0.250 0.882 Ga
0.915 0.052 0.183 Pt
0.415 0.948 0.317 Pt
0.085 0.552 0.817 Pt
0.585 0.448 0.683 Pt
0.085 0.948 0.817 Pt
0.585 0.052 0.683 Pt
0.915 0.448 0.183 Pt
0.415 0.552 0.317 Pt
```

Properties
magnetization	0.00	μB/f.u.
DOS at the Fermi energy	7.67	states/eV per cell
energy of formation	-100.1	kJ per mole of atoms

=====

This record from Alexandria via LeMat-Bulk describes a relaxed structure of GdPb5. The functional is PBE.

Structure (POSCAR):
```
GdPb5
1.0
-0.802 -3.305 3.253
-3.205 -2.123 -2.948
7.400 -3.392 -1.622
Pb Gd
5 1
Direct
0.500 0.832 0.664 Pb
0.000 0.659 0.317 Pb
0.500 0.500 0.000 Pb
0.000 0.341 0.683 Pb
0.500 0.168 0.336 Pb
0.000 0.000 0.000 Gd
```

Properties
magnetization	7.12	μB/f.u.
DOS at the Fermi energy	4.77	states/eV per cell
energy of formation	-16.2	kJ per mole of atoms

=====

This record from Alexandria via LeMat-Bulk describes a relaxed structure of ReTc3Ru. The functional is PBE.

Structure (POSCAR):
```
ReTc3Ru
1.0
2.753 0.000 0.000
0.000 7.474 4.537
0.000 2.232 8.544
Re Tc Ru
2 6 2
Direct
0.250 0.692 0.373 Re
0.750 0.308 0.627 Re
0.250 0.139 0.498 Tc
0.250 0.450 0.788 Tc
0.250 0.939 0.926 Tc
0.750 0.861 0.502 Tc
0.750 0.061 0.074 Tc
0.750 0.550 0.212 Tc
0.750 0.313 0.133 Ru
0.250 0.687 0.867 Ru
```

Properties
magnetization	0.00	μB/f.u.
DOS at the Fermi energy	9.62	states/eV per cell
energy of formation	10.9	kJ per mole of atoms
offset from the most stable computed form	0.00	eV per formula unit

=====

This record from Alexandria via LeMat-Bulk describes a relaxed structure of FeTeBrN2. The functional is PBE.

Structure (POSCAR):
```
FeTeBrN2
1.0
3.838 0.000 0.000
0.000 3.838 0.000
0.000 0.000 7.849
Te Fe Br N
1 1 1 2
Direct
0.000 0.000 0.500 Te
0.500 0.500 0.500 Fe
0.000 0.000 0.000 Br
0.000 0.500 0.000 N
0.500 0.000 0.000 N
```

Properties
magnetization	4.27	μB/f.u.
ΔE_f (raw)	2170	meV per atom
DOS at the Fermi energy	5.47	states/eV per cell
offset from the most stable computed form	5.56	eV per formula unit

=====

> Among the records above, which one has the highest DOS at the Fermi energy?

AcY2Tm7

=====

What did the eighth record say?
This record from Alexandria via LeMat-Bulk describes a relaxed structure of Ti3CuSn2P6O24. The functional is PBE.

Structure (POSCAR):
```
Ti3CuSn2P6O24
1.0
-7.723 -4.899 1.065
-2.230 -7.477 -4.889
-0.400 -8.570 3.341
Ti Cu Sn P O
3 1 2 6 24
Direct
0.147 0.147 0.147 Ti
0.353 0.353 0.353 Ti
0.656 0.656 0.656 Ti
0.840 0.840 0.840 Cu
0.975 0.975 0.975 Sn
0.516 0.516 0.516 Sn
0.464 0.748 0.044 P
0.748 0.044 0.464 P
0.965 0.530 0.256 P
0.256 0.965 0.530 P
0.530 0.256 0.965 P
0.044 0.464 0.748 P
0.490 0.311 0.116 O
0.116 0.490 0.311 O
0.307 0.947 0.044 O
0.311 0.116 0.490 O
0.647 0.718 0.038 O
0.385 0.596 0.225 O
0.947 0.044 0.307 O
0.596 0.225 0.385 O
0.986 0.356 0.248 O
0.225 0.385 0.596 O
0.967 0.700 0.063 O
0.248 0.986 0.356 O
0.718 0.038 0.647 O
0.044 0.307 0.947 O
0.767 0.586 0.417 O
0.038 0.647 0.718 O
0.417 0.767 0.586 O
0.063 0.967 0.700 O
0.586 0.417 0.767 O
0.356 0.248 0.986 O
0.728 0.867 0.495 O
0.700 0.063 0.967 O
0.867 0.495 0.728 O
0.495 0.728 0.867 O
```

Properties
magnetization	1.00	μB/f.u.
ΔE_f (raw)	-2248	meV per atom
DOS at the Fermi energy	6.70	states/eV per cell